Record 1
{"formula": "HfNb2Cu2", "functional": "GGA-PBE", "state": "relaxed", "relative_energy_mev_per_atom": 0, "total_magnetization_mub_per_cell": 0.00, "space_group": "P4/mbm, No. 127", "e_form_ev_per_atom": 0.13, "lattice": [[7.333, 0.000, 0.000], [0.000, 7.333, 0.000], [0.000, 0.000, 3.107]], "species": ["Nb", "Nb", "Nb", "Nb", "Hf", "Hf", "Cu", "Cu", "Cu", "Cu"], "frac_coords": [[0.176, 0.676, 0.500], [0.676, 0.824, 0.500], [0.824, 0.324, 0.500], [0.324, 0.176, 0.500], [0.000, 0.000, 0.000], [0.500, 0.500, 0.000], [0.380, 0.880, 0.000], [0.880, 0.620, 0.000], [0.620, 0.120, 0.000], [0.120, 0.380, 0.000]]}

---

Record 2
{"formula": "HfNbCu2", "functional": "GGA-PBE", "state": "relaxed", "relative_energy_mev_per_atom": 0, "total_magnetization_mub_per_cell": 0.00, "space_group": "P4/mmm, No. 123", "e_form_ev_per_atom": 0.02, "lattice": [[3.893, 0.000, 0.000], [0.000, 4.051, 0.000], [0.000, 0.000, 4.051]], "species": ["Nb", "Hf", "Cu", "Cu"], "frac_coords": [[0.500, 0.000, 0.000], [0.500, 0.500, 0.500], [0.000, 0.000, 0.500], [0.000, 0.500, 0.000]]}

---

Record 3
{"formula": "HfNbCu2", "functional": "GGA-PBE", "state": "relaxed", "relative_energy_mev_per_atom": 374, "total_magnetization_mub_per_cell": 0.00, "space_group": "I-42d, No. 122", "e_form_ev_per_atom": 0.39, "lattice": [[7.200, 0.000, 0.000], [0.000, 7.200, 0.000], [3.600, 3.600, 2.627]], "species": ["Nb", "Nb", "Hf", "Hf", "Cu", "Cu", "Cu", "Cu"], "frac_coords": [[0.500, 0.500, 0.000], [0.250, 0.750, 0.500], [0.000, 0.000, 0.000], [0.750, 0.250, 0.500], [0.618, 0.125, 0.250], [0.132, 0.625, 0.250], [0.375, 0.382, 0.750], [0.875, 0.868, 0.750]]}

---

Record 4
{"formula": "HfNb3Cu", "functional": "GGA-PBE", "state": "relaxed", "relative_energy_mev_per_atom": 0, "total_magnetization_mub_per_cell": 0.00, "space_group": "Pm-3m, No. 221", "e_form_ev_per_atom": 0.96, "lattice": [[-4.133, 2.141, -0.652], [-0.579, -2.345, -4.032], [-2.162, -3.465, 2.326]], "species": ["Nb", "Nb", "Nb", "Hf", "Cu"], "frac_coords": [[0.000, 0.500, 0.000], [0.000, 0.000, 0.500], [0.500, 0.000, 0.000], [0.500, 0.500, 0.500], [0.000, 0.000, 0.000]]}

---

Record 5
{"formula": "Hf3NbCu", "functional": "GGA-PBE", "state": "relaxed", "total_magnetization_mub_per_cell": 0.00, "space_group": "Pm-3m, No. 221", "e_form_ev_per_atom": 1.23, "lattice": [[-4.765, 1.650, 0.234], [-0.518, -2.141, 4.542], [1.583, 4.263, 2.190]], "species": ["Nb", "Hf", "Hf", "Hf", "Cu"], "frac_coords": [[0.000, 0.000, 0.000], [0.000, 0.500, 0.000], [0.000, 0.000, 0.500], [0.500, 0.000, 0.000], [0.500, 0.500, 0.500]]}

---

Record 6
{"formula": "HfNbCu4", "functional": "GGA-PBE", "state": "relaxed", "total_magnetization_mub_per_cell": 2.48, "space_group": "F-43m, No. 216", "e_form_ev_per_atom": 0.02, "lattice": [[-2.739, 2.737, -3.137], [-1.911, -2.081, -4.105], [-4.911, -0.774, -0.347]], "species": ["Nb", "Hf", "Cu", "Cu", "Cu", "Cu"], "frac_coords": [[0.250, 0.250, 0.250], [0.000, 0.000, 0.000], [0.625, 0.625, 0.125], [0.625, 0.125, 0.625], [0.625, 0.625, 0.625], [0.125, 0.625, 0.625]]}

---

Record 7
{"formula": "HfNbCu2", "functional": "GGA-PBE", "state": "relaxed", "relative_energy_mev_per_atom": 17, "total_magnetization_mub_per_cell": 0.00, "space_group": "P4/mmm, No. 123", "e_form_ev_per_atom": 0.03, "lattice": [[-3.209, 0.533, -0.095], [-0.504, -3.151, -0.635], [-0.366, -1.146, 5.976]], "species": ["Nb", "Hf", "Cu", "Cu"], "frac_coords": [[0.500, 0.500, 0.000], [0.500, 0.500, 0.500], [0.000, 0.000, 0.756], [0.000, 0.000, 0.244]]}

---

Record 8
{"formula": "HfNbCu2", "functional": "GGA-PBE", "state": "relaxed", "relative_energy_mev_per_atom": 10, "total_magnetization_mub_per_cell": 0.00, "space_group": "Fm-3m, No. 225", "e_form_ev_per_atom": 0.03, "lattice": [[0.000, 3.184, 3.184], [3.184, 0.000, 3.184], [3.184, 3.184, 0.000]], "species": ["Nb", "Hf", "Cu", "Cu"], "frac_coords": [[0.000, 0.000, 0.000], [0.500, 0.500, 0.500], [0.250, 0.250, 0.250], [0.750, 0.750, 0.750]]}

---

Record 9
{"formula": "HfNb3Cu", "functional": "GGA-PBE", "state": "relaxed", "relative_energy_mev_per_atom": 881, "total_magnetization_mub_per_cell": 0.00, "space_group": "Pm-3m, No. 221", "e_form_ev_per_atom": 1.85, "lattice": [[-2.934, -1.394, -3.662], [-0.101, -4.546, 1.812], [-3.917, 1.162, 2.696]], "species": ["Nb", "Nb", "Nb", "Hf", "Cu"], "frac_coords": [[0.000, 0.500, 0.000], [0.000, 0.000, 0.500], [0.500, 0.000, 0.000], [0.000, 0.000, 0.000], [0.500, 0.500, 0.500]]}

---

Record 10
{"formula": "HfNb2Cu2", "functional": "GGA-PBE", "state": "relaxed", "relative_energy_mev_per_atom": 120, "total_magnetization_mub_per_cell": 0.00, "space_group": "P4/mbm, No. 127", "e_form_ev_per_atom": 0.25, "lattice": [[7.812, 0.000, 0.000], [0.000, 7.812, 0.000], [0.000, 0.000, 2.779]], "species": ["Nb", "Nb", "Nb", "Nb", "Hf", "Hf", "Cu", "Cu", "Cu", "Cu"], "frac_coords": [[0.378, 0.878, 0.000], [0.878, 0.622, 0.000], [0.622, 0.122, 0.000], [0.122, 0.378, 0.000], [0.000, 0.000, 0.000], [0.500, 0.500, 0.000], [0.176, 0.676, 0.500], [0.676, 0.824, 0.500], [0.824, 0.324, 0.500], [0.324, 0.176, 0.500]]}

---

Record 11
{"formula": "HfPaNbCu", "functional": "GGA-PBE", "state": "relaxed", "total_magnetization_mub_per_cell": 0.00, "space_group": "F-43m, No. 216", "e_form_ev_per_atom": 0.07, "lattice": [[-0.377, -4.781, 0.517], [1.614, -2.126, 4.018], [-3.127, -1.843, 3.176]], "species": ["Nb", "Pa", "Hf", "Cu"], "frac_coords": [[0.750, 0.750, 0.750], [0.500, 0.500, 0.500], [0.000, 0.000, 0.000], [0.250, 0.250, 0.250]]}

---

Record 12
{"formula": "Hf2NbCuPb", "functional": "GGA-PBE", "state": "relaxed", "total_magnetization_mub_per_cell": 0.00, "space_group": "P4/mmm, No. 123", "e_form_ev_per_atom": 1.51, "lattice": [[5.330, 0.000, 0.000], [0.000, 5.330, 0.000], [0.000, 0.000, 4.585]], "species": ["Pb", "Nb", "Hf", "Hf", "Cu"], "frac_coords": [[0.000, 0.000, 0.000], [0.500, 0.500, 0.500], [0.000, 0.500, 0.000], [0.500, 0.000, 0.000], [0.000, 0.000, 0.500]]}

---

Record 13
{"formula": "HfNbCuPd2", "functional": "GGA-PBE", "state": "relaxed", "total_magnetization_mub_per_cell": 1.28, "space_group": "P4/mmm, No. 123", "e_form_ev_per_atom": 1.22, "lattice": [[-2.770, -3.879, -0.761], [2.907, -2.679, 3.075], [-2.789, 1.259, 3.734]], "species": ["Nb", "Hf", "Cu", "Pd", "Pd"], "frac_coords": [[0.000, 0.500, 0.000], [0.000, 0.000, 0.000], [0.500, 0.500, 0.500], [0.000, 0.000, 0.500], [0.500, 0.000, 0.000]]}

---

Record 14
{"formula": "HfNbCuTc", "functional": "GGA-PBE", "state": "relaxed", "total_magnetization_mub_per_cell": 0.00, "space_group": "F-43m, No. 216", "e_form_ev_per_atom": -0.17, "lattice": [[-2.263, 2.756, -2.825], [-4.486, 0.574, 0.491], [-1.633, 3.967, 1.515]], "species": ["Nb", "Hf", "Tc", "Cu"], "frac_coords": [[0.500, 0.500, 0.500], [0.000, 0.000, 0.000], [0.750, 0.750, 0.750], [0.250, 0.250, 0.250]]}

---

Record 15
{"formula": "HfTiNbCu", "functional": "GGA-PBE", "state": "relaxed", "total_magnetization_mub_per_cell": 0.00, "space_group": "F-43m, No. 216", "e_form_ev_per_atom": 0.03, "lattice": [[-2.372, -0.577, -3.892], [1.290, -3.212, -3.021], [-2.568, -3.764, -0.588]], "species": ["Nb", "Hf", "Cu", "Ti"], "frac_coords": [[0.500, 0.500, 0.500], [0.250, 0.250, 0.250], [0.000, 0.000, 0.000], [0.750, 0.750, 0.750]]}

---

Record 16
{"formula": "HfNbCuW2", "functional": "GGA-PBE", "state": "relaxed", "total_magnetization_mub_per_cell": 0.00, "space_group": "P4/mmm, No. 123", "e_form_ev_per_atom": 1.37, "lattice": [[-0.027, -4.121, 2.023], [-1.065, -1.971, -4.030], [4.467, -0.490, -0.940]], "species": ["Nb", "Hf", "Cu", "W", "W"], "frac_coords": [[0.500, 0.500, 0.500], [0.000, 0.500, 0.000], [0.000, 0.000, 0.000], [0.000, 0.000, 0.500], [0.500, 0.000, 0.000]]}

---

Record 17
{"formula": "HfNbCu2W", "functional": "GGA-PBE", "state": "relaxed", "total_magnetization_mub_per_cell": 0.00, "space_group": "P4/mmm, No. 123", "e_form_ev_per_atom": 1.28, "lattice": [[-3.155, -3.324, 0.853], [3.070, -3.284, -1.444], [1.610, -0.410, 4.356]], "species": ["Nb", "Hf", "Cu", "Cu", "W"], "frac_coords": [[0.000, 0.500, 0.000], [0.500, 0.500, 0.500], [0.000, 0.000, 0.500], [0.500, 0.000, 0.000], [0.000, 0.000, 0.000]]}

---

Record 18
{"formula": "HfNbCuW", "functional": "GGA-PBE", "state": "relaxed", "total_magnetization_mub_per_cell": 0.00, "space_group": "F-43m, No. 216", "e_form_ev_per_atom": 0.06, "lattice": [[-1.594, -1.934, -3.848], [0.211, -4.556, -0.538], [-3.847, -2.506, 0.112]], "species": ["Nb", "Hf", "Cu", "W"], "frac_coords": [[0.500, 0.500, 0.500], [0.000, 0.000, 0.000], [0.250, 0.250, 0.250], [0.750, 0.750, 0.750]]}

---

Record 19
{"formula": "HfZrNbCu2", "functional": "GGA-PBE", "state": "relaxed", "total_magnetization_mub_per_cell": 0.00, "space_group": "P4/mmm, No. 123", "e_form_ev_per_atom": 1.14, "lattice": [[4.703, 0.000, 0.000], [0.000, 4.897, 0.000], [0.000, 0.000, 4.703]], "species": ["Nb", "Hf", "Cu", "Cu", "Zr"], "frac_coords": [[0.000, 0.500, 0.000], [0.000, 0.000, 0.000], [0.000, 0.000, 0.500], [0.500, 0.000, 0.000], [0.500, 0.500, 0.500]]}

---

Record 20
{"formula": "NdHf2Cu9", "functional": "GGA-PBE", "state": "relaxed", "total_magnetization_mub_per_cell": 0.00, "space_group": "R-3m, No. 166", "e_form_ev_per_atom": -0.13, "lattice": [[-2.038, 3.677, -2.901], [-3.648, -1.146, -3.386], [-7.560, 2.165, 3.560]], "species": ["Nd", "Hf", "Hf", "Cu", "Cu", "Cu", "Cu", "Cu", "Cu", "Cu", "Cu", "Cu"], "frac_coords": [[0.000, 0.000, 0.000], [0.848, 0.848, 0.457], [0.152, 0.152, 0.543], [0.668, 0.668, 0.997], [0.332, 0.332, 0.003], [0.500, 0.500, 0.500], [0.414, 0.414, 0.255], [0.916, 0.414, 0.255], [0.414, 0.916, 0.255], [0.586, 0.586, 0.745], [0.586, 0.084, 0.745], [0.084, 0.586, 0.745]]}

---

Record 21
{"formula": "NdHfCuPd", "functional": "GGA-PBE", "state": "relaxed", "total_magnetization_mub_per_cell": 0.00, "space_group": "F-43m, No. 216", "e_form_ev_per_atom": -0.26, "lattice": [[4.880, 0.000, 0.000], [2.440, 4.226, 0.000], [2.440, 1.409, 3.985]], "species": ["Nd", "Hf", "Cu", "Pd"], "frac_coords": [[0.000, 0.000, 0.000], [0.500, 0.500, 0.500], [0.250, 0.250, 0.250], [0.750, 0.750, 0.750]]}

---

Record 22
{"formula": "NdHfCuRh", "functional": "GGA-PBE", "state": "relaxed", "total_magnetization_mub_per_cell": 0.00, "space_group": "F-43m, No. 216", "e_form_ev_per_atom": -0.32, "lattice": [[-3.125, -3.522, -1.071], [-1.493, -3.034, 3.447], [-4.544, 0.230, 1.617]], "species": ["Nd", "Hf", "Cu", "Rh"], "frac_coords": [[0.000, 0.000, 0.000], [0.500, 0.500, 0.500], [0.750, 0.750, 0.750], [0.250, 0.250, 0.250]]}

---

Record 23
{"formula": "Nd2HfCuS5", "functional": "GGA-PBE", "state": "relaxed", "dft_energy_ev_per_cell": -117.57, "total_magnetization_mub_per_cell": 0.00, "space_group": "Cmc2_1, No. 36", "lattice": [[3.808, 0.000, 0.000], [-1.904, 8.297, 0.000], [0.000, 0.000, 11.634]], "species": ["Nd", "Nd", "Nd", "Nd", "Hf", "Hf", "Cu", "Cu", "S", "S", "S", "S", "S", "S", "S", "S", "S", "S"], "frac_coords": [[0.875, 0.749, 0.820], [0.115, 0.230, 0.694], [0.125, 0.251, 0.320], [0.885, 0.770, 0.194], [0.811, 0.623, 0.517], [0.189, 0.377, 0.017], [0.562, 0.125, 0.939], [0.438, 0.875, 0.439], [0.348, 0.696, 0.010], [0.694, 0.388, 0.862], [0.496, 0.992, 0.769], [0.293, 0.586, 0.669], [0.957, 0.915, 0.545], [0.652, 0.304, 0.510], [0.306, 0.612, 0.362], [0.504, 0.008, 0.269], [0.707, 0.414, 0.169], [0.043, 0.085, 0.045]]}

---

Record 24
{"formula": "Hf3Cu2Ni8", "functional": "GGA-PBE", "state": "relaxed", "total_magnetization_mub_per_cell": 0.00, "space_group": "R-3m, No. 166", "e_form_ev_per_atom": -0.17, "lattice": [[4.738, 0.000, 0.000], [2.369, 4.103, 0.000], [2.369, 1.368, 9.244]], "species": ["Hf", "Hf", "Hf", "Cu", "Cu", "Ni", "Ni", "Ni", "Ni", "Ni", "Ni", "Ni", "Ni"], "frac_coords": [[0.000, 0.000, 0.000], [0.811, 0.811, 0.568], [0.189, 0.189, 0.432], [0.638, 0.638, 0.086], [0.362, 0.362, 0.914], [0.720, 0.720, 0.839], [0.280, 0.280, 0.161], [0.231, 0.734, 0.300], [0.734, 0.231, 0.300], [0.734, 0.734, 0.300], [0.266, 0.769, 0.700], [0.769, 0.266, 0.700], [0.266, 0.266, 0.700]]}

---

Record 25
{"formula": "Hf2Cu3Ni2", "functional": "GGA-PBE", "state": "relaxed", "total_magnetization_mub_per_cell": 0.00, "space_group": "C2/m, No. 12", "e_form_ev_per_atom": -0.30, "lattice": [[-2.064, 0.519, 3.312], [-4.717, -0.308, -0.552], [-2.486, -5.800, 1.699]], "species": ["Hf", "Hf", "Cu", "Cu", "Cu", "Ni", "Ni"], "frac_coords": [[0.140, 0.489, 0.232], [0.860, 0.511, 0.768], [0.500, 0.000, 0.000], [0.376, 0.813, 0.435], [0.624, 0.187, 0.565], [0.150, 0.891, 0.810], [0.850, 0.109, 0.190]]}

---

Record 26
{"formula": "HfCuNi", "functional": "GGA-PBE", "state": "relaxed", "total_magnetization_mub_per_cell": 0.00, "space_group": "P4/nmm, No. 129", "e_form_ev_per_atom": -0.32, "lattice": [[-3.545, -0.078, -0.618], [-0.101, -3.455, 1.020], [-1.175, 1.951, 6.491]], "species": ["Hf", "Hf", "Ni", "Ni", "Cu", "Cu"], "frac_coords": [[0.250, 0.250, 0.340], [0.750, 0.750, 0.660], [0.250, 0.250, 0.733], [0.750, 0.750, 0.267], [0.750, 0.250, 0.000], [0.250, 0.750, 0.000]]}

---

Record 27
{"formula": "Hf2CuNi6", "functional": "GGA-PBE", "state": "relaxed", "total_magnetization_mub_per_cell": 0.00, "space_group": "C2/m, No. 12", "e_form_ev_per_atom": -0.33, "lattice": [[-0.541, 0.728, -5.326], [0.561, -4.958, -0.765], [-4.035, -3.033, -0.035]], "species": ["Hf", "Hf", "Cu", "Ni", "Ni", "Ni", "Ni", "Ni", "Ni"], "frac_coords": [[0.847, 0.667, 0.667], [0.153, 0.333, 0.333], [0.000, 0.000, 0.000], [0.327, 0.350, 0.824], [0.329, 0.824, 0.824], [0.327, 0.824, 0.350], [0.673, 0.650, 0.176], [0.671, 0.176, 0.176], [0.673, 0.176, 0.650]]}